Entry from Alexandria: an optimized crystal structure of MgSc3Ag4 (PBE).

Summary:
Calculated total energy, eV per atom: -4.268
ρ, g/cm3: 6.18
D(E_F), states/eV/cell: 5.16
Formation energy, eV/atom: -0.27

Lattice parameters (Å, degrees): 3.4103 3.4103 13.6403 90.00 90.00 90.00
Closest atoms and distances in Å follow each position.
Atoms (fractional coordinates):
Sc: 0.5000 0.5000 0.2460  8 Ag 2.95-2.96
Sc: 0.5000 0.5000 0.5000  8 Ag 2.98
Sc: 0.5000 0.5000 0.7540  8 Ag 2.95-2.96
Mg: 0.5000 0.5000 0.0000  8 Ag 2.92
Ag: 0.0000 0.0000 0.8787  4 Mg 2.92, 4 Sc 2.95
Ag: 0.0000 0.0000 0.1213  4 Mg 2.92, 4 Sc 2.95
Ag: 0.0000 0.0000 0.3720  8 Sc 2.96-2.98
Ag: 0.0000 0.0000 0.6280  8 Sc 2.96-2.98